No. 1
VASP calculation (PBE) on a relaxed KH2Os crystal.

Cell and atoms, written as extended XYZ:
```
8
Lattice="5.4112 0.0000 0.0000 0.0000 5.4112 0.0000 2.7056 2.7056 3.6816" Properties=species:S:1:pos:R:3 pbc="T T T"
H 4.7526 1.3528 0.9204
H 6.0698 4.0584 0.9204
H 4.0584 3.3642 2.7612
H 6.7640 2.0470 2.7612
K 2.7056 2.7056 0.0000
K 2.7056 5.4112 1.8408
Os 0.0000 0.0000 0.0000
Os 5.4112 2.7056 1.8408
```

Computed properties:
crystal system: tetragonal
N(E_F): 0.539 states/eV/atom
polymorph energy (0 for the lowest one): 0.0 kJ per mole of atoms

***

No. 2
VASP calculation (PBE) on a relaxed SrBe2Pt crystal.

Cell and atoms, written as extended XYZ:
```
8
Lattice="4.7192 0.0000 0.0000 0.0000 4.7192 0.0000 2.3596 2.3596 7.4492" Properties=species:S:1:pos:R:3 pbc="T T T"
Sr 2.3596 2.3596 0.0000
Sr 2.3596 4.7192 3.7246
Pt 0.0000 0.0000 0.0000
Pt 4.7192 2.3596 3.7246
Be 4.7191 1.1798 1.8623
Be 4.7193 3.5394 1.8623
Be 3.5394 2.3597 5.5869
Be 5.8990 2.3595 5.5869
```

Computed properties:
crystal system: tetragonal
N(E_F): 0.590 states/eV/atom
polymorph energy (0 for the lowest one): 19.6 kJ per mole of atoms

***

No. 3
VASP calculation (PBE) on a relaxed VP2IrCl crystal.

Cell and atoms, written as extended XYZ:
```
5
Lattice="-1.0162 0.5175 4.3817 -4.1403 -1.6658 -0.7635 1.7049 -4.6716 0.9471" Properties=species:S:1:pos:R:3 pbc="T T T"
Cl 0.8524 -2.3358 0.4735
Ir 0.0000 0.0000 0.0000
P -2.0702 -0.8329 -0.3817
P -0.5081 0.2587 2.1909
V -1.7258 -2.9099 2.2827
```

Computed properties:
crystal system: tetragonal
N(E_F): 1.158 states/eV/atom
polymorph energy (0 for the lowest one): 8.3 kJ per mole of atoms

***

No. 4
VASP calculation (PBE) on a relaxed AcGe2PdPt5 crystal.

Cell and atoms, written as extended XYZ:
```
9
Lattice="-0.5145 3.9851 2.7529 -4.8393 -0.3086 -0.4577 -0.2994 -4.1654 5.9739" Properties=species:S:1:pos:R:3 pbc="T T T"
Ac -0.1497 -2.0827 2.9869
Ge -2.7260 1.1553 2.1270
Ge -2.9272 -1.6442 6.1420
Pd 0.0000 0.0000 0.0000
Pt -2.4819 -1.0204 1.0132
Pt -0.3195 1.1265 2.6185
Pt -2.6568 -3.4537 4.5029
Pt -0.4944 -1.3068 6.1082
Pt -2.8266 -0.2445 4.1345
```

Computed properties:
crystal system: tetragonal
N(E_F): 0.334 states/eV/atom
electronic total energy: -5.776 eV/atom

***

No. 5
VASP calculation (PBE) on a relaxed Hg5H4Pd4 crystal.

Cell and atoms, written as extended XYZ:
```
13
Lattice="2.8935 0.0000 0.7357 1.4468 8.6655 0.3678 -0.6885 0.0000 8.7662" Properties=species:S:1:pos:R:3 pbc="T T T"
Hg 2.9786 7.4616 6.4591
Hg 0.6731 1.2039 3.4106
Hg 0.0000 0.0000 0.0000
Hg 2.5968 5.5260 1.9025
Hg 1.0549 3.1396 7.9672
H 2.6833 5.3721 7.6206
H 1.5698 1.9411 5.9421
H 0.9684 3.2934 2.2491
H 2.0820 6.7244 3.9276
Pd 2.5953 2.6998 1.9086
Pd 1.0564 5.9657 7.9610
Pd 3.6750 7.4552 3.7201
Pd -0.0233 1.2103 6.1496
```

Computed properties:
crystal system: tetragonal
N(E_F): 0.258 states/eV/atom
electronic total energy: -2.711 eV/atom

***

No. 6
VASP calculation (PBE) on a relaxed Cs2HAuI crystal.

Cell and atoms, written as extended XYZ:
```
5
Lattice="-6.1840 -1.9820 -0.0915 0.4094 -0.9815 -6.4068 1.2338 -3.8806 0.6733" Properties=species:S:1:pos:R:3 pbc="T T T"
Cs 0.2047 -0.4908 -3.2034
Cs -3.0920 -0.9910 -0.0458
I -2.2704 -3.4221 -2.9125
Au 0.6169 -1.9403 0.3367
H 0.0000 0.0000 0.0000
```

Computed properties:
crystal system: tetragonal
N(E_F): 0.252 states/eV/atom
polymorph energy (0 for the lowest one): 0.0 kJ per mole of atoms

***

No. 7
VASP calculation (PBE) on a relaxed Pa3Re5Ge2 crystal.

Cell and atoms, written as extended XYZ:
```
20
Lattice="5.9431 0.0000 0.0000 2.9716 8.1420 -0.9908 2.9716 1.2053 8.1130" Properties=species:S:1:pos:R:3 pbc="T T T"
Pa 1.4858 0.0000 0.0000
Pa 4.4573 0.0000 0.0000
Pa 5.9431 4.2188 6.4857
Pa 5.9431 5.1286 0.6365
Pa 8.9147 7.3727 2.3464
Pa 2.9716 1.9746 4.7758
Re 4.4573 4.6737 3.5611
Re 7.4289 4.6737 3.5611
Re 7.4289 7.2880 5.5531
Re 1.4858 2.0594 1.5691
Re 4.4573 2.0594 1.5691
Re 10.4005 7.2880 5.5531
Re 2.9716 4.1804 1.5808
Re 8.9147 5.1670 5.5414
Re 5.9431 2.6335 3.6110
Re 5.9431 6.7139 3.5112
Ge 2.9716 5.7115 -0.3538
Ge 8.9147 3.6359 7.4760
Ge 5.9431 1.1746 5.6006
Ge 5.9431 8.1728 1.5216
```

Computed properties:
crystal system: orthorhombic
N(E_F): 1.474 states/eV/atom
electronic total energy: -9.967 eV/atom

***

No. 8
VASP calculation (PBE) on a relaxed TlFeAs2 crystal.

Cell and atoms, written as extended XYZ:
```
8
Lattice="6.0579 0.0000 0.0000 0.0000 6.0579 0.0000 3.0289 3.0289 5.5215" Properties=species:S:1:pos:R:3 pbc="T T T"
Tl 0.0000 0.0000 0.0000
Tl 6.0579 3.0289 2.7607
As 3.8844 1.5145 1.3804
As 2.1735 4.5434 1.3804
As 4.5434 5.2024 4.1411
As 7.5723 6.9133 4.1411
Fe 3.0289 3.0289 0.0000
Fe 3.0289 6.0579 2.7607
```

Computed properties:
crystal system: tetragonal
N(E_F): 0.707 states/eV/atom
polymorph energy (0 for the lowest one): 12.7 kJ per mole of atoms

***

What are the total magnetic moment values for these records? In order: 1.52; 0.00; 0.29; 0.00; 0.00; 0.00; 0.00; 1.34 μB/cell.
What are the V values for these records? In order: 13.48; 20.74; 20.76; 19.21; 17.25; 34.82; 19.98; 25.33 Å³/atom.